(1)
Entry from the Alexandria database: an optimized crystal structure of GeSbTe2 (PBE-GGA).

Cell and atoms, written as POSCAR:
```
GeSbTe2
1.0
1.982 1.144 9.349
-1.982 1.144 9.349
0.000 -2.289 9.349
Ge Sb Te
1 1 2
Direct
0.000 0.000 0.000 Ge
0.500 0.500 0.500 Sb
0.395 0.395 0.395 Te
0.605 0.605 0.605 Te
```

Values from the calculation:
Mass density in g/cm³: 5.9
Space group: R-3m (166)
Distance to the lowest polymorph of the same formula in eV per atom: 0.174
ΔE_f (raw) in eV/atom: 0.170
Total moment in μB/atom: 0.0000

(2)
Entry from the Alexandria database: an optimized crystal structure of Ge2SbTe (PBE-GGA).

Cell and atoms, written as POSCAR:
```
Ge2SbTe
1.0
-3.590 3.590 4.848
3.590 -3.590 4.848
3.590 3.590 -4.848
Ge Sb Te
4 2 2
Direct
0.115 0.625 0.990 Ge
0.375 0.365 0.490 Ge
0.635 0.125 0.010 Ge
0.875 0.885 0.510 Ge
0.000 0.000 0.000 Sb
0.750 0.250 0.500 Sb
0.250 0.750 0.500 Te
0.500 0.500 0.000 Te
```

Values from the calculation:
Mass density in g/cm³: 5.2
Space group: I-42d (122)
Distance to the lowest polymorph of the same formula in eV per atom: 0.166
ΔE_f (raw) in eV/atom: 0.235
Total moment in μB/atom: 0.0000

(3)
Entry from the Alexandria database: an optimized crystal structure of Ge2Sb2Te5 (PBE-GGA).

Cell and atoms, written as POSCAR:
```
Ge2Sb2Te5
1.0
4.291 0.000 0.000
-2.146 3.716 0.000
0.000 0.000 17.524
Ge Sb Te
2 2 5
Direct
0.333 0.667 0.401 Ge
0.667 0.333 0.599 Ge
0.000 0.000 0.189 Sb
0.000 0.000 0.811 Sb
0.000 0.000 0.500 Te
0.333 0.667 0.091 Te
0.333 0.667 0.696 Te
0.667 0.333 0.304 Te
0.667 0.333 0.909 Te
```

Values from the calculation:
Mass density in g/cm³: 6.1
Space group: P-3m1 (164)
Distance to the lowest polymorph of the same formula in eV per atom: 0.000
ΔE_f (raw) in eV/atom: -0.108
Total moment in μB/atom: 0.0000

(4)
Entry from the Alexandria database: an optimized crystal structure of GeSbTe2 (PBE-GGA).

Cell and atoms, written as POSCAR:
```
GeSbTe2
1.0
2.102 -13.845 0.000
2.102 13.845 0.000
0.000 0.000 4.119
Ge Sb Te
2 2 4
Direct
0.204 0.796 0.750 Ge
0.796 0.204 0.250 Ge
0.454 0.546 0.750 Sb
0.546 0.454 0.250 Sb
0.082 0.918 0.750 Te
0.306 0.694 0.750 Te
0.694 0.306 0.250 Te
0.918 0.082 0.250 Te
```

Values from the calculation:
Mass density in g/cm³: 6.2
Space group: Cmcm (63)
Distance to the lowest polymorph of the same formula in eV per atom: 0.004
ΔE_f (raw) in eV/atom: 0.000
Total moment in μB/atom: 0.0000

(5)
Entry from the Alexandria database: an optimized crystal structure of Ge2SbTe (PBE-GGA).

Cell and atoms, written as POSCAR:
```
Ge2SbTe
1.0
0.000 3.641 3.641
3.641 0.000 3.641
3.641 3.641 0.000
Ge Sb Te
2 1 1
Direct
0.250 0.250 0.250 Ge
0.750 0.750 0.750 Ge
0.000 0.000 0.000 Sb
0.500 0.500 0.500 Te
```

Values from the calculation:
Mass density in g/cm³: 6.8
Space group: Fm-3m (225)
Distance to the lowest polymorph of the same formula in eV per atom: 0.234
ΔE_f (raw) in eV/atom: 0.302
Total moment in μB/atom: 0.0000

(6)
Entry from the Alexandria database: an optimized crystal structure of Ge3Sb5Te12 (PBE-GGA).

Cell and atoms, written as POSCAR:
```
Ge3Sb5Te12
1.0
-8.976 8.976 8.976
8.976 -8.976 8.976
8.976 8.976 -8.976
Ge Sb Te
12 20 48
Direct
0.125 0.250 0.375 Ge
0.125 0.375 0.750 Ge
0.250 0.375 0.125 Ge
0.250 0.875 0.625 Ge
0.375 0.125 0.250 Ge
0.375 0.750 0.125 Ge
0.625 0.250 0.875 Ge
0.625 0.875 0.750 Ge
0.750 0.125 0.375 Ge
0.750 0.625 0.875 Ge
0.875 0.625 0.250 Ge
0.875 0.750 0.625 Ge
0.000 0.000 0.000 Sb
0.000 0.000 0.500 Sb
0.000 0.500 0.000 Sb
0.000 0.500 0.500 Sb
0.125 0.750 0.875 Sb
0.125 0.875 0.250 Sb
0.250 0.125 0.875 Sb
0.250 0.625 0.375 Sb
0.375 0.250 0.625 Sb
0.375 0.625 0.750 Sb
0.500 0.000 0.000 Sb
0.500 0.000 0.500 Sb
0.500 0.500 0.000 Sb
0.500 0.500 0.500 Sb
0.625 0.375 0.250 Sb
0.625 0.750 0.375 Sb
0.750 0.375 0.625 Sb
0.750 0.875 0.125 Sb
0.875 0.125 0.750 Sb
0.875 0.250 0.125 Sb
0.055 0.224 0.138 Te
0.055 0.331 0.917 Te
0.083 0.638 0.414 Te
0.083 0.945 0.669 Te
0.086 0.724 0.669 Te
0.086 0.862 0.417 Te
0.138 0.055 0.224 Te
0.138 0.583 0.914 Te
0.169 0.224 0.586 Te
0.169 0.445 0.583 Te
0.224 0.138 0.055 Te
0.224 0.586 0.169 Te
0.276 0.331 0.914 Te
0.276 0.445 0.362 Te
0.331 0.914 0.276 Te
0.331 0.917 0.055 Te
0.362 0.276 0.445 Te
0.362 0.586 0.917 Te
0.414 0.083 0.638 Te
0.414 0.831 0.776 Te
0.417 0.086 0.862 Te
0.417 0.831 0.555 Te
0.445 0.362 0.276 Te
0.445 0.583 0.169 Te
0.555 0.417 0.831 Te
0.555 0.638 0.724 Te
0.583 0.169 0.445 Te
0.583 0.914 0.138 Te
0.586 0.169 0.224 Te
0.586 0.917 0.362 Te
0.638 0.414 0.083 Te
0.638 0.724 0.555 Te
0.669 0.083 0.945 Te
0.669 0.086 0.724 Te
0.724 0.555 0.638 Te
0.724 0.669 0.086 Te
0.776 0.414 0.831 Te
0.776 0.862 0.945 Te
0.831 0.555 0.417 Te
0.831 0.776 0.414 Te
0.862 0.417 0.086 Te
0.862 0.945 0.776 Te
0.914 0.138 0.583 Te
0.914 0.276 0.331 Te
0.917 0.055 0.331 Te
0.917 0.362 0.586 Te
0.945 0.669 0.083 Te
0.945 0.776 0.862 Te
```

Values from the calculation:
Mass density in g/cm³: 5.4
Space group: Ia-3d (230)
ΔE_f (raw) in eV/atom: 0.136
Total moment in μB/atom: 0.0000